(1)
Nd9SmEr2 after structural relaxation, computed with PBE.

Unit cell a=5.1568 b=5.1568 c=15.4739 alpha=90.00 beta=90.00 gamma=90.00
Last column: nearest neighbours and their distance in Å.
Space group P4/mmm (No. 123)
Unique sites:
1 Nd 0.0000 0.0000 0.0000 x1  4 Sm 3.65, 8 Nd 3.67
2 Nd 0.0000 0.0000 0.3348 x2  8 Nd 3.63-3.64, 4 Er 3.65
3 Nd 0.0000 0.5000 0.1684 x4  2 Er 3.64, 8 Nd 3.64-3.67, 2 Sm 3.67
4 Nd 0.0000 0.5000 0.5000 x2  8 Nd 3.63-3.65, 4 Er 3.63
5 Sm 0.5000 0.5000 0.0000 x1  12 Nd 3.65-3.67
6 Er 0.5000 0.5000 0.3345 x2  12 Nd 3.63-3.65

ΔE_f ... 0.0156 eV per atom
Calculated density ... 7.2 g/cm3

=====

(2)
YHgMoS2 after structural relaxation, computed with PBE.

Unit cell a=4.6478 b=4.6478 c=5.6851 alpha=90.00 beta=90.00 gamma=90.00
Last column: nearest neighbours and their distance in Å.
Space group P4/mmm (No. 123)
Unique sites:
1 Y 0.0000 0.0000 0.0000 x1  2 Mo 2.84
2 Hg 0.5000 0.5000 0.0000 x1  4 Y 3.29, 8 S 3.67
3 Mo 0.0000 0.0000 0.5000 x1  4 S 2.32
4 S 0.0000 0.5000 0.5000 x2  2 Mo 2.32

Calculated density ... 6.1 g/cm3
Formation energy without anion corrections ... -181 meV/atom

=====

(3)
SmMgPdRu after structural relaxation, computed with PBE.

Unit cell a=6.7006 b=6.7006 c=6.7006 alpha=90.00 beta=90.00 gamma=90.00
Last column: nearest neighbours and their distance in Å.
Space group F-43m (No. 216)
Unique sites:
1 Sm 0.0000 0.0000 0.0000 x4  4 Ru 2.90, 4 Pd 2.90
2 Mg 0.0000 0.0000 0.5000 x4  4 Ru 2.90, 4 Pd 2.90
3 Pd 0.2500 0.2500 0.7500 x4  4 Mg 2.90, 4 Sm 2.90
4 Ru 0.2500 0.2500 0.2500 x4  4 Mg 2.90, 4 Sm 2.90

ΔE_f ... -0.3575 eV per atom
Calculated density ... 8.4 g/cm3

=====

(4)
BaPbBr2 after structural relaxation, computed with PBE.

Unit cell a=4.6773 b=6.3876 c=5.8956 alpha=90.00 beta=113.24 gamma=90.00
Last column: nearest neighbours and their distance in Å.
Space group Pm (No. 6)
Unique sites:
1 Ba 0.0000 0.0000 0.0000 x1  5 Br 3.18-3.36
2 Pb 0.5808 0.5000 0.1618 x1  2 Br 3.03-3.04
3 Br 0.2949 0.0000 0.5874 x1  3 Ba 3.18-3.24
4 Br 0.9030 0.5000 0.8048 x1  2 Pb 3.03-3.04, 2 Ba 3.36

Energy above the most stable polymorph in this dataset ... 0.037 eV per atom
Calculated density ... 5.2 g/cm3
Formation energy without anion corrections ... -1109 meV/atom